# 1
The following is a GGA-PBE calculation of a geometry-optimized Na3MnAu structure, from the Alexandria database.

Geometry as POSCAR:
```
Na3MnAu
1.0
-1.149 -2.462 4.818
2.300 -4.681 -1.843
4.897 1.621 1.997
Na Au Mn
3 1 1
direct
0.000 0.500 0.000
0.500 0.000 0.000
0.000 0.000 0.500
0.000 0.000 0.000
0.500 0.500 0.500
```

Values from the calculation:
space-group type = Pm-3m, No. 221
formation energy from the elements = 231 kJ/mol of formula units



# 2
The following is a GGA-PBE calculation of a geometry-optimized Mn5B2Mo2W structure, from the Alexandria database.

Geometry as POSCAR:
```
Mn5B2Mo2W
1.0
-1.624 2.334 -0.737
-6.310 -5.304 -2.893
-3.630 -0.017 7.947
B Mo Mn W
4 4 10 2
direct
0.000 0.120 0.620
0.000 0.380 0.120
0.000 0.620 0.880
0.000 0.880 0.380
0.000 0.324 0.824
0.000 0.676 0.176
0.000 0.824 0.676
0.000 0.176 0.324
0.500 0.782 0.931
0.500 0.000 0.500
0.500 0.431 0.282
0.500 0.218 0.069
0.500 0.931 0.218
0.500 0.718 0.431
0.500 0.500 0.000
0.500 0.569 0.718
0.500 0.282 0.569
0.500 0.069 0.782
0.000 0.500 0.500
0.000 0.000 0.000
```

Values from the calculation:
space-group type = P4/mbm, No. 127
formation energy from the elements = -202 kJ/mol of formula units



# 3
The following is a GGA-PBE calculation of a geometry-optimized BaPbSe structure, from the Alexandria database.

Geometry as POSCAR:
```
BaPbSe
1.0
5.099 0.000 0.000
-2.550 4.416 0.000
0.000 0.000 4.696
Ba Pb Se
1 1 1
direct
0.000 0.000 0.980
0.667 0.333 0.455
0.333 0.667 0.565
```

Values from the calculation:
E_form (uncorrected) = -808 meV per atom
space-group type = P3m1, No. 156



# 4
The following is a GGA-PBE calculation of a geometry-optimized Pr2Fe2B2C structure, from the Alexandria database.

Geometry as POSCAR:
```
Pr2Fe2B2C
1.0
-3.371 0.216 1.463
-2.829 -4.561 -1.212
-0.129 -3.385 4.836
C B Fe Pr
1 2 2 2
direct
0.000 0.000 0.000
0.210 0.372 0.208
0.790 0.628 0.792
0.198 0.685 0.918
0.802 0.315 0.082
0.562 0.192 0.684
0.438 0.808 0.316
```

Values from the calculation:
space-group type = C2/m, No. 12
formation energy from the elements = -200 kJ/mol of formula units



# 5
The following is a GGA-PBE calculation of a geometry-optimized BaTeBr2 structure, from the Alexandria database.

Geometry as POSCAR:
```
BaTeBr2
1.0
0.000 4.096 4.096
4.096 0.000 4.096
4.096 4.096 0.000
Ba Br Te
1 2 1
direct
0.500 0.500 0.500
0.750 0.750 0.750
0.250 0.250 0.250
0.000 0.000 0.000
```

Values from the calculation:
E_form (uncorrected) = -1055 meV per atom
space-group type = Fm-3m, No. 225



# 6
The following is a GGA-PBE calculation of a geometry-optimized BaHg4Pb8 structure, from the Alexandria database.

Geometry as POSCAR:
```
BaHg4Pb8
1.0
-2.137 1.761 -6.331
-3.659 -4.479 -3.782
-11.268 3.115 0.899
Pb Ba Hg
8 1 4
direct
0.758 0.253 0.230
0.244 0.244 0.267
0.242 0.242 0.770
0.242 0.747 0.770
0.747 0.242 0.770
0.758 0.758 0.230
0.756 0.756 0.733
0.253 0.758 0.230
0.500 0.500 0.500
0.000 0.000 0.000
0.500 0.500 0.000
0.500 0.000 0.000
0.000 0.500 0.000
```

Values from the calculation:
space-group type = R-3m, No. 166
formation energy from the elements = 76 kJ/mol of formula units



Number 1: spin magnetization 4.62 μB/cell, uncorrected energy -14.01 eV/cell. Number 2: spin magnetization 0.01 μB/cell, uncorrected energy -191.82 eV/cell. Number 3: spin magnetization 0.00 μB/cell, uncorrected energy -11.54 eV/cell. Number 4: spin magnetization 0.00 μB/cell, uncorrected energy -51.14 eV/cell. Number 5: spin magnetization 2.00 μB/cell, uncorrected energy -12.63 eV/cell. Number 6: spin magnetization 0.00 μB/cell, uncorrected energy -32.01 eV/cell.